Entry 1:
Entry from Alexandria via LeMat-Bulk: a relaxed Ca2TeRu crystal (PBE).

## Properties
The value obtained for the uncorrected formation energy is -234 meV/atom. Its total magnetization is 0.00 μB per formula unit. The density is 5.54 g/cm³.

a b c (Å): 5.3179 5.3179 5.3179
angles (deg): 127.16 127.16 78.00
Last column: nearest neighbours and their distance in Å.
Sites, in units of the cell vectors:
Te: 0.7500 0.2500 0.5000  8 Ca 3.14, 4 Ru 3.35
Ca: 0.5000 0.5000 0.0000  4 Ru 3.14, 4 Te 3.14, 4 Ca 3.35
Ca: 0.0000 0.0000 0.0000  4 Te 3.14, 4 Ru 3.14, 4 Ca 3.35
Ru: 0.2500 0.7500 0.5000  8 Ca 3.14, 4 Te 3.35

***

Entry 2:
Entry from Alexandria via LeMat-Bulk: a relaxed Re3Mo crystal (PBE).

## Properties
Its total magnetization is 0.00 μB per formula unit. The energy above the lowest structure with this stoichiometry comes out at 108.7 meV/atom. The value obtained for the energy relative to the elements is 196.7 meV per atom. The density is 17.79 g/cm³.

a b c (Å): 3.1014 4.4379 4.4379
angles (deg): 90.00 90.00 90.00
Last column: nearest neighbours and their distance in Å.
Sites, in units of the cell vectors:
Re: 0.5000 0.5000 0.0000  4 Mo 2.71, 4 Re 2.71
Re: 0.5000 0.0000 0.5000  4 Re 2.71, 4 Mo 2.71
Re: 0.0000 0.5000 0.5000  8 Re 2.71
Mo: 0.0000 0.0000 0.0000  8 Re 2.71

***

Entry 3:
Entry from Alexandria via LeMat-Bulk: a relaxed ZrCl crystal (PBE).

## Properties
The value obtained for the uncorrected formation energy is -925 meV/atom. Its total magnetization is 0.00 μB per formula unit. The density is 4.77 g/cm³.

a b c (Å): 3.3117 6.5328 12.2391
angles (deg): 90.00 90.00 90.00
Last column: nearest neighbours and their distance in Å.
Sites, in units of the cell vectors:
Cl: 0.0000 0.6622 0.0000  4 Zr 2.73-2.82
Cl: 0.5000 0.3378 0.5000  4 Zr 2.73-2.82
Cl: 0.0000 0.7166 0.7135  4 Zr 2.62-2.68
Cl: 0.0000 0.7166 0.2865  4 Zr 2.62-2.68
Cl: 0.5000 0.2834 0.7865  4 Zr 2.62-2.68
Cl: 0.5000 0.2834 0.2135  4 Zr 2.62-2.68
Zr: 0.5000 0.3124 0.0000  4 Cl 2.62-2.82
Zr: 0.0000 0.6876 0.5000  4 Cl 2.62-2.82
Zr: 0.5000 0.9993 0.3692  4 Cl 2.66-2.73
Zr: 0.5000 0.9993 0.6308  4 Cl 2.66-2.73
Zr: 0.0000 0.0007 0.8692  4 Cl 2.66-2.73
Zr: 0.0000 0.0007 0.1308  4 Cl 2.66-2.73